Entry 1:
Compound: TiSi2W2
Source: Alexandria via LeMat-Bulk
Functional: PBE
Structure: relaxed

a b c (Å): 7.2622 7.2622 2.9344
angles (deg): 90.00 90.00 90.00
Closest atoms and distances in Å follow each position.
Sites, in units of the cell vectors:
Ti 0.0000 0.0000 0.0000  4 W 2.82, 2 Ti 2.93, 8 Si 3.10
Ti 0.5000 0.5000 0.0000  4 W 2.82, 2 Ti 2.93, 8 Si 3.10
Si 0.1590 0.3410 0.5000  6 W 2.56-2.61
Si 0.3410 0.8410 0.5000  6 W 2.56-2.61
Si 0.6590 0.1590 0.5000  6 W 2.56-2.61
Si 0.8410 0.6590 0.5000  6 W 2.56-2.61
W 0.1369 0.6369 0.0000  6 Si 2.56-2.61, 1 W 2.81, 2 Ti 2.82
W 0.3631 0.1369 0.0000  6 Si 2.56-2.61, 1 W 2.81, 2 Ti 2.82
W 0.6369 0.8631 0.0000  6 Si 2.56-2.61, 1 W 2.81, 2 Ti 2.82
W 0.8631 0.3631 0.0000  6 Si 2.56-2.61, 1 W 2.81, 2 Ti 2.82

Summary:
* excess energy over the best structure of this formula in the dataset: 0.364 eV per atom
* spin magnetization: 0.0 μB/f.u.
* raw total energy: -8.852 eV/atom
* raw formation energy: 0.077 eV/atom


Entry 2:
Compound: TiSiW3
Source: Alexandria via LeMat-Bulk
Functional: PBE
Structure: relaxed

a b c (Å): 4.4950 4.4950 4.4950
angles (deg): 90.00 90.00 90.00
Closest atoms and distances in Å follow each position.
Sites, in units of the cell vectors:
Ti 0.0000 0.0000 0.0000  12 W 3.18
Si 0.5000 0.5000 0.5000  6 W 2.25
W 0.0000 0.5000 0.5000  2 Si 2.25
W 0.5000 0.0000 0.5000  2 Si 2.25
W 0.5000 0.5000 0.0000  2 Si 2.25

Summary:
* excess energy over the best structure of this formula in the dataset: 0.000 eV per atom
* spin magnetization: 0.0 μB/f.u.
* raw total energy: -9.369 eV/atom
* raw formation energy: 1.066 eV/atom


Entry 3:
Compound: Ti2SiW
Source: Alexandria via LeMat-Bulk
Functional: PBE
Structure: relaxed

a b c (Å): 3.2748 3.2748 5.7041
angles (deg): 90.00 90.00 90.00
Closest atoms and distances in Å follow each position.
Sites, in units of the cell vectors:
Ti 0.0000 0.0000 0.2431  4 Si 2.70, 4 W 2.74, 2 Ti 2.77-2.93
Ti 0.0000 0.0000 0.7569  4 Si 2.70, 4 W 2.74, 2 Ti 2.77-2.93
Si 0.5000 0.5000 0.0000  8 Ti 2.70, 2 W 2.85
W 0.5000 0.5000 0.5000  8 Ti 2.74, 2 Si 2.85

Summary:
* spin magnetization: 0.0 μB/f.u.
* raw total energy: -8.957 eV/atom
* raw formation energy: -0.415 eV/atom